CsRb2BaV: optimized geometry, GGA-PBE.

Cell: 7.282 6.849 7.282 Å, 90.00 90.00 90.00°
Site moments in Bohr magnetons follow the coordinates.
Sites, in units of the cell vectors:
Rb 0.500 0.000 0.000  0.02
Rb 0.000 0.000 0.500  0.02
V 0.000 0.000 0.000  3.29
Ba 0.500 0.500 0.500  -0.04
Cs 0.000 0.500 0.000  0.04

Properties
SG   P4/mmm, No. 123
Crystal system   tetragonal
Energy of formation from the pure elements   4.5 eV per formula unit
Total magnetic moment   4.6 μB/f.u.
Density of states at the Fermi level   1.438 states/eV/atom